VASP calculation (PBE) on PmH8Rh2 after structural relaxation.

```
data_PmH8Rh2
_chemical_formula_sum 'Pm2 H16 Rh4'
_symmetry_space_group_name_H-M 'C 1 2/m 1'
_symmetry_Int_Tables_number 12
_cell_length_a 5.2122
_cell_length_b 8.5537
_cell_length_c 3.7900
_cell_angle_alpha 90.00
_cell_angle_beta 90.62
_cell_angle_gamma 90.00
loop_
_symmetry_equiv_pos_as_xyz
'x,y,z'
'-x,-y,-z'
'-x,y,-z'
'x,-y,z'
'x+1/2,y+1/2,z'
'-x+1/2,-y+1/2,-z'
'-x+1/2,y+1/2,-z'
'x+1/2,-y+1/2,z'
loop_
_atom_site_label
_atom_site_fract_x
_atom_site_fract_y
_atom_site_fract_z
_atom_site_occupancy
Pm1 0.0000 0.0000 0.0000 1
H1 0.0000 0.3019 0.0000 1
H2 0.0134 0.5000 0.7506 1
H3 0.1705 0.1413 0.5044 1
Rh1 0.0000 0.3273 0.5000 1
```

Computed properties:
N(E_F), states/eV per atom: 0.110
Total DFT energy (no corrections), eV/atom: -4.437
Distance to the lowest polymorph of the same formula, meV/atom: 0